In5Hg4Pb2 (PBE-GGA, optimized geometry); excess energy over the best structure of this formula in the dataset = 10.2 meV/atom; space-group type = No. 12; ΔH_f (0 K) = 0.10 eV per atom; size of the total moment = 0.00 μB/cell; VASP energy = -21.26 eV/f.u.
1.0
4.014 -4.766 0.000
4.014 4.766 0.000
-3.492 0.000 8.883
In Hg Pb
5 4 2
Cartesian
0.000 0.000 0.000
2.007 2.383 0.000
2.268 1.526 4.442
2.007 -2.383 0.000
2.268 -1.526 4.442
0.497 2.919 6.451
4.038 2.919 2.432
0.497 -2.919 6.451
4.038 -2.919 2.432
-0.845 0.000 5.816
5.381 0.000 3.067

InHg7Pb12 (PBE-GGA, optimized geometry); excess energy over the best structure of this formula in the dataset = 0.0 meV/atom; space-group type = No. 148; ΔH_f (0 K) = 0.03 eV per atom; size of the total moment = 0.00 μB/cell; VASP energy = -48.77 eV/f.u.
1.0
7.582 4.378 2.972
-7.582 4.378 2.972
0.000 -8.755 2.972
In Hg Pb
1 7 12
Cartesian
0.000 0.000 0.000
-2.340 -0.232 1.752
1.371 -1.911 1.752
0.969 2.143 1.752
0.000 0.000 4.458
-0.969 -2.143 7.165
-1.371 1.911 7.165
2.340 0.232 7.165
-6.050 -0.911 4.575
-2.236 -5.695 4.342
-2.738 -2.109 4.452
-3.195 1.317 4.465
0.457 -3.425 4.465
-3.814 4.784 4.342
3.814 -4.784 4.575
-0.457 3.425 4.452
3.195 -1.317 4.452
2.738 2.109 4.465
2.236 5.695 4.575
6.050 0.911 4.342

In2Hg4Pb (PBE-GGA, optimized geometry); excess energy over the best structure of this formula in the dataset = 0.0 meV/atom; space-group type = No. 2; ΔH_f (0 K) = 0.01 eV per atom; size of the total moment = 0.00 μB/cell; VASP energy = -10.29 eV/f.u.
1.0
3.505 0.000 0.000
1.443 3.283 0.000
0.110 0.199 16.756
In Hg Pb
2 4 1
Cartesian
0.104 0.144 3.525
4.955 3.339 13.231
1.750 1.265 15.592
1.950 1.390 5.838
3.109 2.093 10.918
3.309 2.218 1.164
0.055 0.100 8.378

InHg2Pb (PBE-GGA, optimized geometry); space-group type = No. 160; ΔH_f (0 K) = 0.03 eV per atom; size of the total moment = 0.00 μB/cell; VASP energy = -6.93 eV/f.u.
1.0
1.693 0.977 11.264
-1.693 0.977 11.264
0.000 -1.954 11.264
In Hg Pb
1 2 1
Cartesian
0.000 0.000 0.000
0.000 0.000 16.622
0.000 0.000 25.143
0.000 0.000 8.302

> Which of these has the lowest ΔH_f (0 K)?

In2Hg4Pb

> Among the records above, which one has the highest VASP energy?

InHg2Pb